Record 1
# MnZnRh3 | the Alexandria database | GGA-PBE | optimized geometry
data_MnZnRh3
_chemical_formula_sum 'Mn1 Zn1 Rh3'
_space_group_name_H-M_alt 'P 1'
_space_group_IT_number 1
_space_group_name_Hall 'P 1'
_cell_length_a 4.430
_cell_length_b 4.430
_cell_length_c 4.430
_cell_angle_alpha 90.00
_cell_angle_beta 90.00
_cell_angle_gamma 90.00
loop_
_atom_site_label
_atom_site_fract_x
_atom_site_fract_y
_atom_site_fract_z
_atom_site_occupancy
Mn1 0.000 0.000 0.000 1
Zn1 0.500 0.500 0.500 1
Rh1 0.000 0.000 0.500 1
Rh2 0.000 0.500 0.000 1
Rh3 0.500 0.000 0.000 1
# - Energy above the lowest structure with this stoichiometry: 0 meV/atom
# - Energy of formation from the pure elements: 0.84 eV per atom
# - SG: No. 221
# - DOS(E_F): 6.1 states/eV/cell
# - Final energy: -28.28 eV per cell

Record 2
# InTe2W4 | the Alexandria database | GGA-PBE | optimized geometry
data_InTe2W4
_chemical_formula_sum 'In2 Te4 W8'
_space_group_name_H-M_alt 'P 1'
_space_group_IT_number 1
_space_group_name_Hall 'P 1'
_cell_length_a 4.866
_cell_length_b 4.866
_cell_length_c 13.697
_cell_angle_alpha 90.00
_cell_angle_beta 90.00
_cell_angle_gamma 90.00
loop_
_atom_site_label
_atom_site_fract_x
_atom_site_fract_y
_atom_site_fract_z
_atom_site_occupancy
In1 0.000 0.000 0.000 1
In2 0.500 0.500 0.500 1
Te1 0.000 0.000 0.383 1
Te2 0.000 0.000 0.617 1
Te3 0.500 0.500 0.117 1
Te4 0.500 0.500 0.883 1
W1 0.000 0.000 0.196 1
W2 0.000 0.000 0.804 1
W3 0.000 0.500 0.000 1
W4 0.000 0.500 0.500 1
W5 0.500 0.000 0.000 1
W6 0.500 0.000 0.500 1
W7 0.500 0.500 0.304 1
W8 0.500 0.500 0.696 1
# - SG: No. 139
# - ΔE_f (raw): 2217 meV per atom
# - DOS(E_F): 17.9 states/eV/cell
# - Final energy: -90.63 eV per cell

Record 3
# Mg2Zn5CdNi2 | the Alexandria database | GGA-PBE | optimized geometry
data_Mg2Zn5CdNi2
_chemical_formula_sum 'Mg4 Zn10 Cd2 Ni4'
_space_group_name_H-M_alt 'P 1'
_space_group_IT_number 1
_space_group_name_Hall 'P 1'
_cell_length_a 8.909
_cell_length_b 8.909
_cell_length_c 4.006
_cell_angle_alpha 90.00
_cell_angle_beta 90.00
_cell_angle_gamma 90.00
loop_
_atom_site_label
_atom_site_fract_x
_atom_site_fract_y
_atom_site_fract_z
_atom_site_occupancy
Mg1 0.176 0.324 0.000 1
Mg2 0.324 0.824 0.000 1
Mg3 0.676 0.176 0.000 1
Mg4 0.824 0.676 0.000 1
Zn1 0.000 0.500 0.500 1
Zn2 0.076 0.787 0.500 1
Zn3 0.213 0.076 0.500 1
Zn4 0.287 0.576 0.500 1
Zn5 0.424 0.287 0.500 1
Zn6 0.500 0.000 0.500 1
Zn7 0.576 0.713 0.500 1
Zn8 0.713 0.424 0.500 1
Zn9 0.787 0.924 0.500 1
Zn10 0.924 0.213 0.500 1
Cd1 0.000 0.000 0.000 1
Cd2 0.500 0.500 0.000 1
Ni1 0.114 0.614 0.000 1
Ni2 0.386 0.114 0.000 1
Ni3 0.614 0.886 0.000 1
Ni4 0.886 0.386 0.000 1
# - Energy of formation from the pure elements: -0.14 eV per atom
# - SG: No. 127
# - DOS(E_F): 8.9 states/eV/cell
# - Final energy: -46.84 eV per cell

What did the second record say?
# InTe2W4 | the Alexandria database | GGA-PBE | optimized geometry
data_InTe2W4
_chemical_formula_sum 'In2 Te4 W8'
_space_group_name_H-M_alt 'P 1'
_space_group_IT_number 1
_space_group_name_Hall 'P 1'
_cell_length_a 4.866
_cell_length_b 4.866
_cell_length_c 13.697
_cell_angle_alpha 90.00
_cell_angle_beta 90.00
_cell_angle_gamma 90.00
loop_
_atom_site_label
_atom_site_fract_x
_atom_site_fract_y
_atom_site_fract_z
_atom_site_occupancy
In1 0.000 0.000 0.000 1
In2 0.500 0.500 0.500 1
Te1 0.000 0.000 0.383 1
Te2 0.000 0.000 0.617 1
Te3 0.500 0.500 0.117 1
Te4 0.500 0.500 0.883 1
W1 0.000 0.000 0.196 1
W2 0.000 0.000 0.804 1
W3 0.000 0.500 0.000 1
W4 0.000 0.500 0.500 1
W5 0.500 0.000 0.000 1
W6 0.500 0.000 0.500 1
W7 0.500 0.500 0.304 1
W8 0.500 0.500 0.696 1
# - SG: No. 139
# - ΔE_f (raw): 2217 meV per atom
# - DOS(E_F): 17.9 states/eV/cell
# - Final energy: -90.63 eV per cell

Question: Number 1 is which compound?
Answer: MnZnRh3